DFT (meta-GGA SCAN) results for a crystal of FePt2Rh relaxed with PBEsol.

Cell lengths 5.366, 7.651, 2.703 Å; angles 90.00, 90.00, 90.00 degrees
Space group Cmmm (No. 65)
One atom of each set of equivalent atoms:
Fe (0.000, 0.000, 0.000) [2 per cell]
Pt (0.250, 0.250, 0.500) [4 per cell]
Rh (0.000, 0.500, 0.000) [2 per cell]

Summary:
**Total DFT energy (no corrections)**: -48.363 eV/atom



DFT (meta-GGA SCAN) results for a crystal of Co3AgGe relaxed with PBEsol.

Cell lengths 4.524, 4.524, 4.524 Å; angles 90.00, 90.00, 90.00 degrees
Space group Pm-3m (No. 221)
One atom of each set of equivalent atoms:
Co (0.000, 0.000, 0.500) [3 per cell]
Ag (0.000, 0.000, 0.000) [1 per cell]
Ge (0.500, 0.500, 0.500) [1 per cell]

Summary:
**Total DFT energy (no corrections)**: -18.806 eV/atom



DFT (meta-GGA SCAN) results for a crystal of Tl4Si5O12 relaxed with PBEsol.

Cell lengths 9.254, 11.705, 12.993 Å; angles 90.00, 94.13, 90.00 degrees
Space group C2/c (No. 15)
One atom of each set of equivalent atoms:
Tl (0.099, 0.028, 0.375) [8 per cell]
Tl (0.168, 0.198, 0.631) [8 per cell]
Si (0.000, 0.493, 0.250) [4 per cell]
Si (0.053, 0.303, 0.081) [8 per cell]
Si (0.227, 0.388, 0.894) [8 per cell]
O (0.042, 0.416, 0.153) [8 per cell]
O (0.097, 0.234, 0.436) [8 per cell]
O (0.103, 0.346, 0.970) [8 per cell]
O (0.139, 0.427, 0.785) [8 per cell]
O (0.167, 0.013, 0.058) [8 per cell]
O (0.183, 0.225, 0.139) [8 per cell]

Summary:
**Formation energy without anion corrections**: -4920 kJ/mol of formula units



DFT (meta-GGA SCAN) results for a crystal of Sr4Al6CrO16 relaxed with PBEsol.

Cell lengths 9.397, 9.397, 9.564 Å; angles 90.00, 90.00, 90.00 degrees
Space group I-4m2 (No. 119)
One atom of each set of equivalent atoms:
Sr (0.243, 0.243, 0.000) [8 per cell]
Al (0.000, 0.000, 0.000) [2 per cell]
Al (0.000, 0.000, 0.500) [2 per cell]
Al (0.000, 0.248, 0.254) [8 per cell]
Cr (0.000, 0.500, 0.750) [2 per cell]
O (0.000, 0.156, 0.096) [8 per cell]
O (0.000, 0.165, 0.416) [8 per cell]
O (0.000, 0.356, 0.851) [8 per cell]
O (0.163, 0.337, 0.250) [8 per cell]

Summary:
**Formation energy without anion corrections**: -8316 kJ/mol of formula units



DFT (meta-GGA SCAN) results for a crystal of In2RhPb relaxed with PBEsol.

Cell lengths 5.761, 8.413, 3.470 Å; angles 90.00, 90.00, 90.00 degrees
Space group Cmmm (No. 65)
One atom of each set of equivalent atoms:
In (0.250, 0.250, 0.000) [4 per cell]
Rh (0.000, 0.000, 0.500) [2 per cell]
Pb (0.000, 0.500, 0.500) [2 per cell]

Summary:
**Total DFT energy (no corrections)**: -43.881 eV/atom



DFT (meta-GGA SCAN) results for a crystal of Cd2CoRu relaxed with PBEsol.

Cell lengths 4.060, 4.060, 7.466 Å; angles 90.00, 90.00, 90.00 degrees
Space group I-4m2 (No. 119)
One atom of each set of equivalent atoms:
Cd (0.000, 0.000, 0.000) [2 per cell]
Cd (0.000, 0.500, 0.250) [2 per cell]
Co (0.000, 0.000, 0.500) [2 per cell]
Ru (0.000, 0.500, 0.750) [2 per cell]

Summary:
**Distance to the lowest polymorph of the same formula**: 33 meV per atom



DFT (meta-GGA SCAN) results for a crystal of HoCuSn relaxed with PBEsol.

Cell lengths 4.4509, 4.4509, 7.1917 Å; angles 90.00, 90.00, 120.00 degrees
Space group P6_3/mmc (No. 194)
One atom of each set of equivalent atoms:
Ho (0.0000, 0.0000, 0.0000) [2 per cell]
Cu (0.3333, 0.6667, 0.2500) [2 per cell]
Sn (0.3333, 0.6667, 0.7500) [2 per cell]

Summary:
**Total DFT energy (no corrections)**: -34.018 eV/atom



DFT (meta-GGA SCAN) results for a crystal of IrPbSe relaxed with PBEsol.

Cell lengths 6.422, 6.422, 6.422 Å; angles 90.00, 90.00, 90.00 degrees
Space group F-43m (No. 216)
One atom of each set of equivalent atoms:
Ir (0.000, 0.000, 0.000) [4 per cell]
Pb (0.000, 0.000, 0.500) [4 per cell]
Se (0.250, 0.250, 0.250) [4 per cell]

Summary:
**Formation energy without anion corrections**: 271 kJ/mol of formula units



DFT (meta-GGA SCAN) results for a crystal of Na3Pm relaxed with PBEsol.

Cell lengths 7.2975, 7.2975, 5.8457 Å; angles 90.00, 90.00, 120.00 degrees
Space group P6_3/mmc (No. 194)
One atom of each set of equivalent atoms:
Na (0.1649, 0.3298, 0.2500) [6 per cell]
Pm (0.3333, 0.6667, 0.7500) [2 per cell]

Summary:
**Total DFT energy (no corrections)**: -13.820 eV/atom



DFT (meta-GGA SCAN) results for a crystal of TbRh relaxed with PBEsol.

Cell lengths 3.383, 3.383, 3.383 Å; angles 90.00, 90.00, 90.00 degrees
Space group Pm-3m (No. 221)
One atom of each set of equivalent atoms:
Tb (0.000, 0.000, 0.000) [1 per cell]
Rh (0.500, 0.500, 0.500) [1 per cell]

Summary:
**Total DFT energy (no corrections)**: -41.225 eV/atom



DFT (meta-GGA SCAN) results for a crystal of YTlCu2Sn relaxed with PBEsol.

Cell lengths 4.769, 4.769, 5.646 Å; angles 90.00, 90.00, 90.00 degrees
Space group P4/mmm (No. 123)
One atom of each set of equivalent atoms:
Y (0.000, 0.000, 0.000) [1 per cell]
Tl (0.000, 0.000, 0.500) [1 per cell]
Cu (0.000, 0.500, 0.500) [2 per cell]
Sn (0.500, 0.500, 0.000) [1 per cell]

Summary:
**Total DFT energy (no corrections)**: -32.820 eV/atom



DFT (meta-GGA SCAN) results for a crystal of ScP2Cl relaxed with PBEsol.

Cell lengths 3.790, 3.322, 6.698 Å; angles 90.00, 90.16, 90.00 degrees
Space group Pm (No. 6)
One atom of each set of equivalent atoms:
Sc (0.000, 0.000, 0.000) [1 per cell]
P (0.496, 0.500, 0.131) [1 per cell]
P (0.555, 0.000, 0.340) [1 per cell]
Cl (0.022, 0.500, 0.716) [1 per cell]

Summary:
**Distance to the lowest polymorph of the same formula**: 0 meV per atom
**Formation energy without anion corrections**: -400 kJ/mol of formula units